# CaCuNiF6 (GGA+U, optimized geometry)
# - E_tot (eV/cell) = -84.55
# - V (A^3/atom) = 13.06
data_CaCuNiF6
_chemical_formula_sum 'Ca2 Cu2 Ni2 F12'
_symmetry_space_group_name_H-M 'P 1'
_symmetry_Int_Tables_number 1
_cell_length_a 4.8892
_cell_length_b 4.8892
_cell_length_c 9.8324
_cell_angle_alpha 90.00
_cell_angle_beta 90.00
_cell_angle_gamma 90.00
loop_
_symmetry_equiv_pos_as_xyz
'x,y,z'
loop_
_atom_site_label
_atom_site_type_symbol
_atom_site_fract_x
_atom_site_fract_y
_atom_site_fract_z
_atom_site_occupancy
Ca1 Ca 0.0000 0.0000 0.0000 1
Ca2 Ca 0.5000 0.5000 0.5000 1
Cu1 Cu 0.0000 0.0000 0.6686 1
Cu2 Cu 0.5000 0.5000 0.1686 1
Ni1 Ni 0.0000 0.0000 0.3331 1
Ni2 Ni 0.5000 0.5000 0.8331 1
F1 F 0.1796 0.1796 0.4974 1
F2 F 0.2073 0.2073 0.1798 1
F3 F 0.2077 0.2077 0.8225 1
F4 F 0.2923 0.7077 0.3225 1
F5 F 0.2927 0.7073 0.6798 1
F6 F 0.3204 0.6796 0.9974 1
F7 F 0.6796 0.3204 0.9974 1
F8 F 0.7073 0.2927 0.6798 1
F9 F 0.7077 0.2923 0.3225 1
F10 F 0.7923 0.7923 0.8225 1
F11 F 0.7927 0.7927 0.1798 1
F12 F 0.8204 0.8204 0.4974 1